1.
Computed, not measured: a relaxed Na3LiPa2S6 crystal at the PBE-GGA level of DFT.

```
Na3LiPa2S6
1.0
3.4522 -5.9735 0.0000
3.4522 5.9735 0.0000
-2.2962 0.0000 6.6551
Na Li Pa S
3 1 2 6
Cartesian
0.0000 0.0000 0.0000 Na
3.4522 1.9333 0.0000 Na
3.4522 -1.9333 0.0000 Na
2.3041 0.0000 3.3276 Li
2.3041 3.9799 3.3276 Pa
2.3041 -3.9799 3.3276 Pa
1.1197 2.0464 1.8199 S
-0.0563 0.0000 4.8377 S
1.1197 -2.0464 1.8199 S
3.4885 2.0464 4.8352 S
4.6645 0.0000 1.8174 S
3.4885 -2.0464 4.8352 S
```

Calculated values
Formation energy without anion corrections   -1.4763 eV/atom
Calculated density   4.4 Mg/m³
Space-group type   No. 12
Magnetization   2.01 μB/cell
Calculated volume   22.873 A^3/atom

2.
Computed, not measured: a relaxed NaLiPa2S6 crystal at the PBE-GGA level of DFT.

```
NaLiPa2S6
1.0
3.4172 1.9729 6.1180
-3.4172 1.9729 6.1180
0.0000 -3.9459 6.1180
Na Li Pa S
1 1 2 6
Cartesian
0.0000 0.0000 0.0000 Na
0.0000 0.0000 8.8744 Li
0.0000 0.0000 5.3421 Pa
0.0000 0.0000 14.6180 Pa
-2.0188 -0.2899 7.0242 S
-1.2703 -2.0964 10.0488 S
1.2605 -1.6033 7.0242 S
-1.1804 2.1483 10.0488 S
0.7583 1.8933 7.0242 S
2.4507 -0.0519 10.0488 S
```

Calculated values
Formation energy without anion corrections   -1.4551 eV/atom
Calculated density   4.6 Mg/m³
Space-group type   No. 146
Magnetization   0.00 μB/cell
Calculated volume   24.749 A^3/atom

3.
Computed, not measured: a relaxed NaLiPa2S5 crystal at the PBE-GGA level of DFT.

```
NaLiPa2S5
1.0
-3.7898 3.7898 6.9158
3.7898 -3.7898 6.9158
3.7898 3.7898 -6.9158
Na Li Pa S
2 2 4 10
Cartesian
0.0000 0.0000 3.4579 Na
0.0000 0.0000 10.3737 Na
3.7898 0.0000 3.4579 Li
0.0000 3.7898 3.4579 Li
5.0046 1.2148 0.0000 Pa
1.2148 2.5751 0.0000 Pa
2.5751 1.2148 6.9158 Pa
-1.2148 2.5751 6.9158 Pa
0.0000 0.0000 0.0000 S
2.6715 1.1184 -1.7333 S
2.6715 -1.1184 5.1825 S
2.6715 1.1184 1.7333 S
2.6715 -1.1184 8.6491 S
0.0000 0.0000 6.9158 S
1.1184 4.9082 -1.7333 S
1.1184 2.6715 5.1825 S
1.1184 4.9082 1.7333 S
1.1184 2.6715 8.6491 S
```

Calculated values
Formation energy without anion corrections   -1.5112 eV/atom
Calculated density   5.5 Mg/m³
Space-group type   No. 140
Magnetization   3.98 μB/cell
Calculated volume   22.073 A^3/atom

4.
Computed, not measured: a relaxed NaLi2PaS4 crystal at the PBE-GGA level of DFT.

```
NaLi2PaS4
1.0
6.4190 0.0000 0.0000
0.0000 4.0189 0.0000
-2.0785 0.0000 6.3914
Na Li Pa S
1 2 1 4
Cartesian
0.0000 0.0000 0.0000 Na
2.1702 0.0000 3.1957 Li
3.2095 2.0095 0.0000 Li
-1.0392 2.0095 3.1957 Pa
0.0714 0.0000 4.6607 S
1.0497 2.0095 1.7269 S
3.2908 2.0095 4.6645 S
4.2691 0.0000 1.7307 S
```

Calculated values
Formation energy without anion corrections   -1.4308 eV/atom
Calculated density   4.0 Mg/m³
Space-group type   No. 10
Magnetization   0.00 μB/cell
Calculated volume   20.610 A^3/atom

5.
Computed, not measured: a relaxed NaLi2Pa2S6 crystal at the PBE-GGA level of DFT.

```
NaLi2Pa2S6
1.0
6.5113 0.0000 0.0000
2.3947 6.4372 0.0000
1.2044 3.2145 6.0979
Na Li Pa S
1 2 2 6
Cartesian
0.0000 0.0000 0.0000 Na
5.6442 6.4276 2.0183 Li
4.4662 3.2241 4.0796 Li
1.2012 3.2167 1.9824 Pa
8.9092 6.4350 4.1154 Pa
3.4306 4.9227 6.0947 S
3.3734 4.7815 2.2596 S
4.5705 7.9966 3.8348 S
5.5399 1.6551 2.2631 S
6.7370 4.8703 3.8383 S
6.6798 4.7290 0.0032 S
```

Calculated values
Formation energy without anion corrections   -1.4959 eV/atom
Calculated density   4.5 Mg/m³
Space-group type   No. 2
Magnetization   1.07 μB/cell
Calculated volume   23.235 A^3/atom

6.
Computed, not measured: a relaxed NaLi3Pa2Se6 crystal at the PBE-GGA level of DFT.

```
NaLi3Pa2Se6
1.0
8.6966 -2.0419 0.0000
8.6966 2.0419 0.0000
-1.7139 0.0000 8.0222
Na Li Pa Se
1 3 2 6
Cartesian
0.0000 0.0000 0.0000 Na
-0.8570 0.0000 4.0111 Li
5.6207 0.0000 1.3284 Li
10.0587 0.0000 6.6938 Li
4.7585 0.0000 5.4166 Pa
10.9208 0.0000 2.6056 Pa
1.9413 0.0000 4.6561 Se
2.8820 0.0000 0.7175 Se
8.2458 0.0000 2.1389 Se
7.4335 0.0000 5.8833 Se
12.7973 0.0000 7.3048 Se
13.7381 0.0000 3.3662 Se
```

Calculated values
Formation energy without anion corrections   -1.2967 eV/atom
Calculated density   5.7 Mg/m³
Space-group type   No. 12
Magnetization   2.01 μB/cell
Calculated volume   23.742 A^3/atom

7.
Computed, not measured: a relaxed Na3LiPa2Se6 crystal at the PBE-GGA level of DFT.

```
Na3LiPa2Se6
1.0
3.5961 -6.2241 0.0000
3.5961 6.2241 0.0000
-2.3956 0.0000 6.9696
Na Li Pa Se
3 1 2 6
Cartesian
0.0000 0.0000 0.0000 Na
3.5961 2.0404 0.0000 Na
3.5961 -2.0404 0.0000 Na
2.3983 0.0000 3.4848 Li
2.3983 4.1481 3.4848 Pa
2.3983 -4.1481 3.4848 Pa
1.1748 2.1155 1.8901 Se
-0.0451 0.0000 5.0856 Se
1.1748 -2.1155 1.8901 Se
3.6217 2.1155 5.0795 Se
4.8416 0.0000 1.8840 Se
3.6217 -2.1155 5.0795 Se
```

Calculated values
Formation energy without anion corrections   -1.3252 eV/atom
Calculated density   5.4 Mg/m³
Space-group type   No. 12
Magnetization   2.00 μB/cell
Calculated volume   25.999 A^3/atom

8.
Computed, not measured: a relaxed Na3LiPa3Se8 crystal at the PBE-GGA level of DFT.

```
Na3LiPa3Se8
1.0
4.1310 2.3850 7.0167
-4.1310 2.3850 7.0167
0.0000 -4.7700 7.0167
Na Li Pa Se
3 1 3 8
Cartesian
-2.0655 -1.1925 7.0167 Na
-2.0655 1.1925 14.0335 Na
0.0000 2.3850 7.0167 Na
0.0000 0.0000 10.5251 Li
-4.1310 0.0000 10.5251 Pa
-2.0655 1.1925 3.5084 Pa
2.0655 1.1925 3.5084 Pa
-2.0997 -1.2123 12.0851 Se
0.0000 0.0000 5.1712 Se
0.0000 -2.4246 8.9651 Se
-2.0997 1.2123 8.9651 Se
2.0997 -1.2123 12.0851 Se
0.0000 2.4246 12.0851 Se
0.0000 0.0000 15.8790 Se
2.0997 1.2123 8.9651 Se
```

Calculated values
Formation energy without anion corrections   -1.2947 eV/atom
Calculated density   5.6 Mg/m³
Space-group type   No. 166
Magnetization   3.01 μB/cell
Calculated volume   27.652 A^3/atom

9.
Computed, not measured: a relaxed Na2Li2PaSe4 crystal at the PBE-GGA level of DFT.

```
Na2Li2PaSe4
1.0
7.7225 -2.0890 0.0000
7.7225 2.0890 0.0000
-3.6020 0.0000 6.8933
Na Li Pa Se
2 2 1 4
Cartesian
2.1825 0.0000 0.2993 Na
9.6607 0.0000 6.5940 Na
3.0708 0.0000 3.5925 Li
8.7724 0.0000 3.3009 Li
-1.8010 0.0000 3.4467 Pa
0.7575 0.0000 4.7745 Se
6.8034 0.0000 1.6826 Se
5.0397 0.0000 5.2107 Se
11.0856 0.0000 2.1188 Se
```

Calculated values
Formation energy without anion corrections   -1.2612 eV/atom
Calculated density   4.5 Mg/m³
Space-group type   No. 12
Magnetization   1.00 μB/cell
Calculated volume   24.712 A^3/atom

10.
Computed, not measured: a relaxed Na4LiPa3Se8 crystal at the PBE-GGA level of DFT.

```
Na4LiPa3Se8
1.0
4.1322 2.3857 7.0235
-4.1322 2.3857 7.0235
0.0000 -4.7715 7.0235
Na Li Pa Se
4 1 3 8
Cartesian
0.0000 0.0000 0.0000 Na
-2.0661 -1.1929 7.0235 Na
-2.0661 1.1929 14.0470 Na
0.0000 2.3857 7.0235 Na
0.0000 0.0000 10.5353 Li
-4.1322 0.0000 10.5353 Pa
-2.0661 1.1929 3.5117 Pa
2.0661 1.1929 3.5118 Pa
-2.0764 -1.1988 12.1404 Se
0.0000 0.0000 5.1735 Se
0.0000 -2.3976 8.9301 Se
-2.0764 1.1988 8.9301 Se
2.0764 -1.1988 12.1404 Se
0.0000 2.3976 12.1404 Se
0.0000 0.0000 15.8971 Se
2.0764 1.1988 8.9301 Se
```

Calculated values
Formation energy without anion corrections   -1.3016 eV/atom
Calculated density   5.7 Mg/m³
Space-group type   No. 166
Magnetization   4.01 μB/cell
Calculated volume   25.966 A^3/atom

11.
Computed, not measured: a relaxed NaLi2Pa3Se6 crystal at the PBE-GGA level of DFT.

```
NaLi2Pa3Se6
1.0
9.0220 -2.0053 0.0000
9.0220 2.0053 0.0000
-2.3700 0.0000 8.0128
Na Li Pa Se
1 2 3 6
Cartesian
0.0000 0.0000 0.0000 Na
4.4012 0.0000 5.3187 Li
11.2727 0.0000 2.6940 Li
-1.1850 0.0000 4.0064 Pa
5.6433 0.0000 1.3722 Pa
10.0307 0.0000 6.6406 Pa
2.8328 0.0000 0.7011 Se
1.6855 0.0000 4.6173 Se
7.1785 0.0000 5.9802 Se
8.4954 0.0000 2.0326 Se
13.9885 0.0000 3.3955 Se
12.8412 0.0000 7.3117 Se
```

Calculated values
Formation energy without anion corrections   -1.2595 eV/atom
Calculated density   6.9 Mg/m³
Space-group type   No. 12
Magnetization   5.49 μB/cell
Calculated volume   24.161 A^3/atom

12.
Computed, not measured: a relaxed Na2LiPaTe4 crystal at the PBE-GGA level of DFT.

```
Na2LiPaTe4
1.0
7.4617 0.0000 0.0000
0.0000 4.4916 0.0000
-2.4212 0.0000 7.4209
Na Li Pa Te
2 1 1 4
Cartesian
0.0000 0.0000 0.0000 Na
3.7308 2.2458 0.0000 Na
-1.2106 2.2458 3.7104 Li
2.5202 0.0000 3.7104 Pa
0.1086 0.0000 5.3823 Te
1.2658 2.2458 2.0432 Te
3.7747 2.2458 5.3777 Te
4.9319 0.0000 2.0386 Te
```

Calculated values
Formation energy without anion corrections   -0.9132 eV/atom
Calculated density   5.3 Mg/m³
Space-group type   No. 10
Magnetization   0.00 μB/cell
Calculated volume   31.089 A^3/atom

13.
Computed, not measured: a relaxed NaLi3Pa2Te6 crystal at the PBE-GGA level of DFT.

```
NaLi3Pa2Te6
1.0
9.4002 -2.1674 0.0000
9.4002 2.1674 0.0000
-1.9771 0.0000 8.6306
Na Li Pa Te
1 3 2 6
Cartesian
0.0000 0.0000 0.0000 Na
-0.9885 0.0000 4.3153 Li
6.0584 0.0000 1.4061 Li
10.7649 0.0000 7.2245 Li
5.0634 0.0000 5.8183 Pa
11.7599 0.0000 2.8123 Pa
2.0240 0.0000 5.0310 Te
3.1133 0.0000 0.7563 Te
8.8586 0.0000 2.3036 Te
7.9647 0.0000 6.3270 Te
13.7100 0.0000 7.8743 Te
14.7993 0.0000 3.5996 Te
```

Calculated values
Formation energy without anion corrections   -0.8951 eV/atom
Calculated density   6.0 Mg/m³
Space-group type   No. 12
Magnetization   2.01 μB/cell
Calculated volume   29.306 A^3/atom

14.
Computed, not measured: a relaxed NaLi2Pa3Te6 crystal at the PBE-GGA level of DFT.

```
NaLi2Pa3Te6
1.0
9.7079 -2.1234 0.0000
9.7079 2.1234 0.0000
-2.7857 0.0000 8.5889
Na Li Pa Te
1 2 3 6
Cartesian
0.0000 0.0000 0.0000 Na
4.5716 0.0000 5.7364 Li
12.0585 0.0000 2.8525 Li
-1.3928 0.0000 4.2945 Pa
6.0626 0.0000 1.4937 Pa
10.5675 0.0000 7.0952 Pa
3.0407 0.0000 0.7479 Te
1.6836 0.0000 4.9411 Te
7.5187 0.0000 6.4105 Te
9.1114 0.0000 2.1785 Te
14.9465 0.0000 3.6478 Te
13.5894 0.0000 7.8410 Te
```

Calculated values
Formation energy without anion corrections   -0.8380 eV/atom
Calculated density   7.0 Mg/m³
Space-group type   No. 12
Magnetization   5.61 μB/cell
Calculated volume   29.508 A^3/atom

15.
Computed, not measured: a relaxed Na4LiPa3Te8 crystal at the PBE-GGA level of DFT.

```
Na4LiPa3Te8
1.0
4.4051 2.5433 7.5832
-4.4051 2.5433 7.5832
0.0000 -5.0866 7.5832
Na Li Pa Te
4 1 3 8
Cartesian
0.0000 0.0000 0.0000 Na
-2.2025 -1.2716 7.5832 Na
-2.2025 1.2716 15.1665 Na
0.0000 2.5433 7.5832 Na
0.0000 0.0000 11.3748 Li
-4.4051 0.0000 11.3748 Pa
-2.2025 1.2716 3.7916 Pa
2.2025 1.2716 3.7916 Pa
-2.1947 -1.2671 13.1232 Te
0.0000 0.0000 5.6030 Te
0.0000 -2.5343 9.6265 Te
-2.1947 1.2671 9.6265 Te
2.1948 -1.2671 13.1232 Te
0.0000 2.5343 13.1232 Te
0.0000 0.0000 17.1467 Te
2.1948 1.2671 9.6265 Te
```

Calculated values
Formation energy without anion corrections   -0.9034 eV/atom
Calculated density   5.9 Mg/m³
Space-group type   No. 166
Magnetization   4.01 μB/cell
Calculated volume   31.863 A^3/atom

16.
Computed, not measured: a relaxed Na3LiPa3Te8 crystal at the PBE-GGA level of DFT.

```
Na3LiPa3Te8
1.0
4.3926 2.5360 7.5920
-4.3926 2.5360 7.5920
0.0000 -5.0721 7.5920
Na Li Pa Te
3 1 3 8
Cartesian
-2.1963 -1.2680 7.5920 Na
-2.1963 1.2680 15.1840 Na
0.0000 2.5360 7.5920 Na
0.0000 0.0000 11.3880 Li
-4.3926 0.0000 11.3880 Pa
-2.1963 1.2680 3.7960 Pa
2.1963 1.2680 3.7960 Pa
-2.2287 -1.2868 13.1155 Te
0.0000 0.0000 5.6134 Te
0.0000 -2.5735 9.6606 Te
-2.2287 1.2868 9.6606 Te
2.2287 -1.2868 13.1155 Te
0.0000 2.5735 13.1155 Te
0.0000 0.0000 17.1627 Te
2.2287 1.2868 9.6606 Te
```

Calculated values
Formation energy without anion corrections   -0.8706 eV/atom
Calculated density   5.9 Mg/m³
Space-group type   No. 166
Magnetization   3.01 μB/cell
Calculated volume   33.827 A^3/atom

17.
Computed, not measured: a relaxed NaLi3Pb3 crystal at the PBE-GGA level of DFT.

```
NaLi3Pb3
1.0
4.9627 -5.1787 0.0000
4.9627 5.1787 0.0000
0.0000 0.0000 6.5509
Na Li Pb
2 6 6
Cartesian
1.8794 0.0000 0.0000 Na
8.0460 0.0000 0.0000 Na
2.4814 2.5893 1.6591 Li
2.4814 2.5893 4.8917 Li
2.4814 -2.5893 1.6591 Li
2.4814 -2.5893 4.8917 Li
4.9627 0.0000 1.5979 Li
4.9627 0.0000 4.9530 Li
4.9627 3.2412 3.2754 Pb
2.6333 0.0000 3.2754 Pb
4.9627 2.4178 0.0000 Pb
4.9627 -2.4178 0.0000 Pb
7.2921 0.0000 3.2754 Pb
4.9627 -3.2412 3.2754 Pb
```

Calculated values
Formation enthalpy at 0 K   -0.191 eV/atom
Excess energy over the best structure of this formula in the dataset   0.0000 eV per atom
Calculated density   6.6 Mg/m³
Space-group type   No. 65
Magnetization   0.00 μB/cell
Calculated volume   24.051 A^3/atom

18.
Computed, not measured: a relaxed Na2LiPb2 crystal at the PBE-GGA level of DFT.

```
Na2LiPb2
1.0
8.8405 0.0000 0.0000
0.0000 8.8405 0.0000
0.0000 0.0000 3.7031
Na Li Pb
4 2 4
Cartesian
1.4747 2.9455 0.0000 Na
2.9455 7.3658 0.0000 Na
5.8950 1.4747 0.0000 Na
7.3658 5.8950 0.0000 Na
0.0000 0.0000 0.0000 Li
4.4203 4.4203 0.0000 Li
1.1529 5.5732 1.8515 Pb
3.2674 1.1529 1.8515 Pb
5.5732 7.6876 1.8515 Pb
7.6876 3.2674 1.8515 Pb
```

Calculated values
Formation enthalpy at 0 K   -0.041 eV/atom
Excess energy over the best structure of this formula in the dataset   0.1166 eV per atom
Calculated density   5.4 Mg/m³
Space-group type   No. 127
Magnetization   0.00 μB/cell
Calculated volume   28.942 A^3/atom

19.
Computed, not measured: a relaxed NaLi4Pb2 crystal at the PBE-GGA level of DFT.

```
NaLi4Pb2
1.0
-2.5699 2.5699 6.1463
2.5699 -2.5699 6.1463
2.5699 2.5699 -6.1463
Na Li Pb
1 4 2
Cartesian
0.0000 0.0000 0.0000 Na
2.5699 0.0000 0.0000 Li
2.5699 0.0000 3.0731 Li
0.0000 2.5699 0.0000 Li
0.0000 2.5699 3.0731 Li
0.0000 0.0000 4.5761 Pb
0.0000 0.0000 7.7165 Pb
```

Calculated values
Formation enthalpy at 0 K   -0.106 eV/atom
Excess energy over the best structure of this formula in the dataset   0.0926 eV per atom
Calculated density   4.8 Mg/m³
Space-group type   No. 139
Magnetization   0.00 μB/cell
Calculated volume   23.195 A^3/atom

20.
Computed, not measured: a relaxed NaLi3Pb2 crystal at the PBE-GGA level of DFT.

```
NaLi3Pb2
1.0
7.6296 -2.9453 0.0000
7.6296 2.9453 0.0000
-0.5921 0.0000 6.3553
Na Li Pb
2 6 4
Cartesian
7.1855 2.2770 4.7665 Na
7.4815 -2.2770 1.5888 Na
2.5296 0.6708 4.0347 Li
2.8257 -0.6708 0.8570 Li
7.4815 0.6380 1.5888 Li
7.1855 -0.6380 4.7665 Li
11.8413 0.6708 5.4983 Li
12.1374 -0.6708 2.3206 Li
4.6953 0.6195 6.1766 Pb
4.9913 -0.6195 2.9989 Pb
9.6756 0.6195 3.3564 Pb
9.9717 -0.6195 0.1787 Pb
```

Calculated values
Formation enthalpy at 0 K   -0.200 eV/atom
Excess energy over the best structure of this formula in the dataset   0.0000 eV per atom
Calculated density   5.3 Mg/m³
Space-group type   No. 15
Magnetization   0.00 μB/cell
Calculated volume   23.802 A^3/atom